[1]
Density functional theory data (PBE) for Cs2YBPd after structural relaxation.

```
Cs2YBPd
1.0
6.498 0.000 0.000
0.000 5.393 0.000
0.000 0.000 6.498
Cs Y B Pd
2 1 1 1
Cartesian
0.000 0.000 3.249
3.249 0.000 0.000
0.000 2.696 0.000
3.249 2.696 3.249
0.000 0.000 0.000
```

Output
Energy of formation from the pure elements   5.8 eV per formula unit

---

[2]
Density functional theory data (PBE) for CaIn2Hg3 after structural relaxation.

```
CaIn2Hg3
1.0
4.328 0.000 0.000
0.000 4.888 0.000
0.000 0.000 14.711
Ca In Hg
2 4 6
Cartesian
0.002 2.444 7.356
4.326 0.000 0.000
0.001 0.000 9.893
0.001 0.000 4.819
4.327 2.444 2.537
4.327 2.444 12.174
2.165 2.444 9.760
2.166 0.000 7.356
2.165 2.444 4.952
2.163 0.000 2.404
2.162 2.444 0.000
2.163 0.000 12.308
```

Output
Energy of formation from the pure elements   -1.5 eV per formula unit
Distance to the lowest polymorph of the same formula   0 meV/atom

---

[3]
Density functional theory data (PBE) for CoPt2S4 after structural relaxation.

```
CoPt2S4
1.0
-0.102 4.677 0.030
-1.655 -0.008 -4.376
-6.156 2.207 -0.177
S Co Pt
4 1 2
Cartesian
-4.156 2.256 -0.933
-3.757 4.621 -3.589
-0.828 -0.004 -2.188
-0.051 2.339 0.015
0.000 0.000 0.000
-2.107 2.305 -1.708
-5.806 4.572 -2.814
```

Output
Uncorrected formation energy   0.36 eV per atom

---

[4]
Density functional theory data (PBE) for AcBe2N2 after structural relaxation.

```
AcBe2N2
1.0
5.026 0.000 -2.347
-1.096 4.905 -2.347
-0.243 -0.303 6.034
Ac Be N
2 4 4
Cartesian
0.000 0.000 0.000
0.313 3.527 0.670
0.035 1.612 3.352
2.669 1.764 -0.839
2.121 4.216 -2.012
2.548 1.612 2.178
2.662 3.323 -0.854
2.676 0.204 -0.824
1.024 1.279 2.193
4.071 1.945 2.163
```

Output
Uncorrected formation energy   -0.71 eV per atom

---

[5]
Density functional theory data (PBE) for Ho4ErSe5 after structural relaxation.

```
Ho4ErSe5
1.0
-1.863 -3.528 4.131
-2.831 -5.959 -2.374
4.813 -4.571 2.259
Ho Er Se
4 1 5
Cartesian
1.959 -7.450 2.513
-0.867 -10.327 2.774
0.982 -3.738 1.251
-1.844 -6.615 1.512
-0.002 -0.004 0.004
1.053 -9.219 4.586
0.065 -8.583 0.692
0.050 -5.482 3.333
-0.937 -4.846 -0.561
-0.933 -1.768 2.070
```

Output
Uncorrected formation energy   -1.71 eV per atom

---

[6]
Density functional theory data (PBE) for CsCu2SiPd after structural relaxation.

```
CsCu2SiPd
1.0
-1.278 -0.067 4.300
3.324 -5.712 0.899
3.674 2.315 1.128
Cs Si Cu Pd
1 1 2 1
Cartesian
1.662 -2.856 0.450
0.000 0.000 0.000
1.837 1.158 0.564
-0.639 -0.033 2.150
2.860 -1.732 3.163
```

Output
Uncorrected formation energy   0.72 eV per atom

---

Q: Which formula does entry 3 have?
A: CoPt2S4